[1]
First-principles (PBE) data for a geometry-optimized Ca2TiGa3Pt4 structure, as listed in Alexandria.

As for the mass density: 9.71 g/cm³. The uncorrected energy comes out at -5.3930 eV per atom.

Structure (POSCAR):
```
Ca2TiGa3Pt4
1.0
4.128 0.000 0.000
0.000 4.128 0.000
0.000 0.000 11.220
Ca Ti Ga Pt
2 1 3 4
Cartesian
2.064 0.000 2.744
0.000 2.064 8.476
2.064 2.064 5.610
0.000 0.000 5.610
2.064 0.000 9.719
0.000 2.064 1.501
2.064 2.064 0.000
0.000 0.000 0.000
2.064 0.000 7.200
0.000 2.064 4.020
```

***

[2]
First-principles (PBE) data for a geometry-optimized FeAu2 structure, as listed in Alexandria.

As for the mass density: 13.14 g/cm³. The uncorrected energy comes out at -4.4997 eV per atom.

Structure (POSCAR):
```
FeAu2
1.0
-2.459 0.531 -4.722
3.972 -3.540 0.564
-6.071 -6.423 2.439
Au Fe
8 4
Cartesian
0.000 0.000 0.000
-3.035 -3.212 1.219
-3.627 -5.923 1.223
-1.666 -7.670 1.501
-1.677 -2.024 -0.889
-2.880 -7.408 -0.830
-2.891 -1.762 -3.220
-0.931 -3.509 -2.941
1.794 -2.219 -1.184
-1.173 -5.358 0.008
-3.385 -4.074 -1.727
-6.352 -7.213 -0.535
```

***

[3]
First-principles (PBE) data for a geometry-optimized La5Tc2Cl2 structure, as listed in Alexandria.

As for the mass density: 6.29 g/cm³. For the uncorrected formation energy, the calculation gives -0.66 eV per atom.

Structure (POSCAR):
```
La5Tc2Cl2
1.0
8.332 0.000 3.024
0.000 7.566 0.000
1.581 0.000 8.632
La Tc Cl
10 4 4
Cartesian
0.000 0.000 0.000
4.166 3.783 1.512
4.908 0.964 7.891
7.836 6.602 8.954
3.671 4.747 7.441
9.074 2.819 9.403
5.005 6.602 3.766
2.076 0.964 2.703
6.242 2.819 4.215
0.839 4.747 2.254
1.125 2.853 0.408
7.207 4.713 2.616
3.041 6.636 1.104
5.291 0.930 1.921
2.609 0.000 5.800
6.775 3.783 7.312
7.304 0.000 5.856
3.138 3.783 4.344
```

***

[4]
First-principles (PBE) data for a geometry-optimized LaPr2Ni structure, as listed in Alexandria.

As for the relative energy among the computed polymorphs: 0.0 meV/atom. As for the mass density: 6.67 g/cm³.

Structure (POSCAR):
```
LaPr2Ni
1.0
-6.215 1.512 -1.699
-2.444 -4.754 4.710
-0.204 7.183 7.144
La Pr Ni
4 8 4
Cartesian
-5.383 0.214 3.223
-5.450 2.906 0.516
-3.481 3.726 6.932
-3.413 1.035 9.640
-2.733 -2.452 3.356
-2.543 2.781 3.348
-6.056 3.770 4.191
-6.396 3.783 9.416
-6.130 6.393 6.800
-6.321 1.160 6.808
-2.808 0.171 5.965
-2.468 0.158 0.739
-1.368 0.078 3.476
-4.927 -1.731 5.192
-7.496 3.863 6.680
-3.937 5.672 4.964
```

***

[5]
First-principles (PBE) data for a geometry-optimized Zr2ZnIn structure, as listed in Alexandria.

As for the mass density: 6.77 g/cm³. The uncorrected energy comes out at -5.2925 eV per atom.

Structure (POSCAR):
```
Zr2ZnIn
1.0
9.825 0.002 0.001
9.282 3.222 0.001
9.282 1.566 2.815
In Zn Zr
1 1 2
Cartesian
14.332 2.418 1.423
7.104 1.199 0.705
28.306 4.776 2.809
21.229 3.582 2.107
```

***

[6]
First-principles (PBE) data for a geometry-optimized Li2CoAs structure, as listed in Alexandria.

As for the mass density: 4.13 g/cm³. The uncorrected energy comes out at -3.8691 eV per atom.

Structure (POSCAR):
```
Li2CoAs
1.0
-1.588 5.743 -3.966
-6.959 -1.615 0.447
-4.447 3.344 0.163
As Co Li
2 2 4
Cartesian
0.000 0.000 0.000
-5.154 5.576 -2.782
-4.273 2.064 -1.760
-7.840 1.896 -0.575
-2.976 4.230 -2.387
-5.658 0.538 -0.171
-6.532 4.058 -1.198
-10.821 6.118 -2.957
```

***

[7]
First-principles (PBE) data for a geometry-optimized NpHIrRu2 structure, as listed in Alexandria.

As for the mass density: 15.75 g/cm³. The uncorrected energy comes out at -8.8930 eV per atom.

Structure (POSCAR):
```
NpHIrRu2
1.0
3.968 0.000 0.000
0.000 4.099 0.000
0.000 0.000 4.099
Np H Ir Ru
1 1 1 2
Cartesian
1.984 2.050 2.050
0.000 0.000 0.000
1.984 0.000 0.000
0.000 0.000 2.050
0.000 2.050 0.000
```

***

[8]
First-principles (PBE) data for a geometry-optimized Ce2YEr3Tm6 structure, as listed in Alexandria.

As for the mass density: 8.59 g/cm³. The uncorrected energy comes out at -4.8535 eV per atom.

Structure (POSCAR):
```
Ce2YEr3Tm6
1.0
-1.248 5.661 -1.792
-2.051 -4.719 -3.216
-8.444 -0.436 7.932
Ce Y Er Tm
2 1 3 6
Cartesian
-1.783 -1.258 -2.741
-1.516 2.200 -2.267
0.000 0.000 0.000
-6.139 -3.213 0.986
-5.603 3.720 1.938
-5.871 0.253 1.462
-8.662 2.121 2.441
-4.584 0.596 -1.763
-3.081 -1.614 0.483
-8.931 -1.365 1.963
-7.158 -0.090 4.686
-2.812 1.871 0.961
```

***

[9]
First-principles (PBE) data for a geometry-optimized Pm4InGa2 structure, as listed in Alexandria.

As for the relative energy among the computed polymorphs: 50.6 meV/atom. As for the mass density: 7.02 g/cm³.

Structure (POSCAR):
```
Pm4InGa2
1.0
4.963 0.000 1.551
2.239 4.430 1.551
-0.072 -0.044 8.948
In Ga Pm
1 2 4
Cartesian
0.000 0.000 0.000
5.337 3.282 9.074
1.794 1.103 2.976
6.231 3.832 6.213
0.900 0.554 5.837
4.427 2.722 3.269
2.705 1.663 8.781
```

***

[10]
First-principles (PBE) data for a geometry-optimized PSe2Br structure, as listed in Alexandria.

As for the relative energy among the computed polymorphs: 345.9 meV/atom. As for the mass density: 4.31 g/cm³. For the uncorrected formation energy, the calculation gives 0.33 eV per atom.

Structure (POSCAR):
```
PSe2Br
1.0
-5.180 -8.436 0.686
-6.996 -5.762 4.040
4.677 7.729 -4.106
P Se Br
1 2 1
Cartesian
-4.020 -4.749 -0.247
-10.946 -12.764 4.249
-4.021 -2.353 1.078
-6.775 -7.900 2.630
```

***

[11]
First-principles (PBE) data for a geometry-optimized KSc2Au structure, as listed in Alexandria.

As for the relative energy among the computed polymorphs: 286.9 meV/atom. As for the mass density: 5.93 g/cm³.

Structure (POSCAR):
```
KSc2Au
1.0
4.421 -2.329 -0.755
1.679 -3.383 3.358
0.098 -4.910 -1.192
Sc K Au
2 1 1
Cartesian
1.549 -2.655 0.353
4.648 -7.966 1.058
0.000 0.000 0.000
3.099 -5.311 0.705
```

***

[12]
First-principles (PBE) data for a geometry-optimized HoLuCrRu structure, as listed in Alexandria.

As for the mass density: 10.19 g/cm³. The uncorrected energy comes out at -7.0832 eV per atom.

Structure (POSCAR):
```
HoLuCrRu
1.0
4.843 0.000 0.000
2.421 4.194 0.000
2.421 1.398 3.954
Ru Lu Ho Cr
1 1 1 1
Cartesian
7.264 4.194 2.966
4.843 2.796 1.977
0.000 0.000 0.000
2.421 1.398 0.989
```

***

[13]
First-principles (PBE) data for a geometry-optimized La2PuPN5 structure, as listed in Alexandria.

As for the mass density: 8.20 g/cm³. For the uncorrected formation energy, the calculation gives -1.05 eV per atom.

Structure (POSCAR):
```
La2PuPN5
1.0
6.850 0.000 0.000
0.000 6.850 0.000
-3.425 -3.425 5.377
La Pu P N
4 2 2 10
Cartesian
1.226 2.199 0.000
4.651 1.226 0.000
2.199 5.624 0.000
5.624 4.651 0.000
0.000 0.000 2.689
3.425 3.425 2.689
0.000 3.425 2.689
3.425 0.000 2.689
-0.932 2.493 1.699
2.493 -0.932 3.678
4.357 0.932 3.678
-0.932 4.357 3.678
0.932 2.493 3.678
4.357 -0.932 1.699
2.493 0.932 1.699
0.932 4.357 1.699
3.425 3.425 0.000
0.000 0.000 0.000
```

***

[14]
First-principles (PBE) data for a geometry-optimized KSrZr2 structure, as listed in Alexandria.

As for the relative energy among the computed polymorphs: 450.4 meV/atom. As for the mass density: 4.10 g/cm³.

Structure (POSCAR):
```
KSrZr2
1.0
-3.694 1.760 -4.233
1.661 -7.016 -0.421
-2.642 -1.405 1.426
K Sr Zr
1 1 2
Cartesian
-0.490 -4.210 0.503
-1.016 -2.628 -2.327
0.000 0.000 0.000
-3.168 0.178 -1.404
```

***

[15]
First-principles (PBE) data for a geometry-optimized CoPRu structure, as listed in Alexandria.

As for the mass density: 8.80 g/cm³. The uncorrected energy comes out at -7.4310 eV per atom.

Structure (POSCAR):
```
CoPRu
1.0
4.936 0.002 -0.002
4.127 2.709 -0.004
0.810 0.244 2.696
Co P Ru
1 1 1
Cartesian
1.006 0.302 2.632
6.275 1.878 0.907
3.402 1.018 1.847
```

***

[16]
First-principles (PBE) data for a geometry-optimized Zr2PaOs structure, as listed in Alexandria.

As for the relative energy among the computed polymorphs: 0.0 meV/atom. As for the mass density: 11.00 g/cm³.

Structure (POSCAR):
```
Zr2PaOs
1.0
-5.897 -0.123 0.570
-0.354 -4.786 -4.698
0.761 -6.426 6.489
Zr Pa Os
8 4 4
Cartesian
-1.070 -3.668 -2.788
-1.809 -3.800 2.201
-4.717 -5.167 2.626
-3.386 -10.034 2.684
-4.421 -7.666 5.150
-3.682 -7.535 0.160
-0.774 -6.168 -0.264
-2.105 -1.301 -0.323
-3.856 -4.266 -0.536
-4.814 -1.896 1.922
-1.635 -7.069 2.898
-0.676 -9.438 0.439
-0.310 -3.415 -0.110
-2.702 -5.854 -2.245
-5.181 -7.920 2.471
-2.789 -5.480 4.606
```

***

[17]
First-principles (PBE) data for a geometry-optimized TaAuO3 structure, as listed in Alexandria.

As for the mass density: 10.65 g/cm³. For the uncorrected formation energy, the calculation gives 0.60 eV per atom.

Structure (POSCAR):
```
TaAuO3
1.0
-0.584 3.912 -0.869
-3.687 -0.868 -1.431
-1.568 0.585 3.687
Au O Ta
1 3 1
Cartesian
0.000 0.000 0.000
-1.844 -0.434 -0.715
-0.784 0.292 1.844
-0.292 1.956 -0.434
-2.920 1.814 0.694
```

***

[18]
First-principles (PBE) data for a geometry-optimized NdAlZnNi3 structure, as listed in Alexandria.

As for the mass density: 6.93 g/cm³. The uncorrected energy comes out at -4.7126 eV per atom.

Structure (POSCAR):
```
NdAlZnNi3
1.0
6.092 0.000 0.000
0.000 5.530 0.000
0.000 -2.765 5.875
Nd Al Zn Ni
2 2 2 6
Cartesian
4.569 0.000 3.687
1.523 2.765 2.188
1.523 0.000 4.328
4.569 2.765 1.547
1.523 2.765 5.015
4.569 0.000 0.860
1.523 0.000 1.760
0.000 1.535 0.000
3.046 3.995 0.000
3.046 1.535 0.000
0.000 3.995 0.000
4.569 2.765 4.115
```

***

[19]
First-principles (PBE) data for a geometry-optimized Nd10Ho6Mg structure, as listed in Alexandria.

As for the mass density: 7.13 g/cm³. The uncorrected energy comes out at -4.3974 eV per atom.

Structure (POSCAR):
```
Nd10Ho6Mg
1.0
6.895 0.000 0.000
0.000 8.479 -4.895
0.000 0.000 9.791
Nd Ho Mg
10 6 1
Cartesian
5.622 6.222 3.592
5.622 0.000 2.606
5.622 2.257 -1.303
1.273 2.257 1.303
1.273 0.000 7.185
1.273 6.222 -3.592
3.447 2.826 4.895
3.447 5.653 0.000
0.000 5.653 0.000
0.000 2.826 4.895
4.769 3.168 1.829
4.769 0.000 6.132
4.769 5.311 -3.066
2.126 5.311 3.066
2.126 0.000 3.658
2.126 3.168 -1.829
3.447 0.000 0.000
```

***

[20]
First-principles (PBE) data for a geometry-optimized MgPtRh2 structure, as listed in Alexandria.

As for the mass density: 11.79 g/cm³. The uncorrected energy comes out at -5.9131 eV per atom.

Structure (POSCAR):
```
MgPtRh2
1.0
-4.265 1.969 -0.947
-4.589 -0.795 -1.131
-1.879 -0.071 4.366
Mg Pt Rh
1 1 2
Cartesian
-2.683 0.276 0.572
-8.050 0.828 1.717
-1.876 -0.069 4.341
-5.369 0.550 1.169
```

***

[21]
First-principles (PBE) data for a geometry-optimized Cu2BrCl structure, as listed in Alexandria.

As for the relative energy among the computed polymorphs: 223.4 meV/atom. As for the mass density: 4.28 g/cm³. For the uncorrected formation energy, the calculation gives -0.08 eV per atom.

Structure (POSCAR):
```
Cu2BrCl
1.0
-2.698 3.067 -0.959
-0.111 -2.819 3.106
3.529 4.389 4.110
Cu Br Cl
2 1 1
Cartesian
3.489 4.339 4.064
1.805 2.244 2.102
-0.522 1.221 2.101
1.242 3.416 4.156
```

***

[22]
First-principles (PBE) data for a geometry-optimized KNiTe structure, as listed in Alexandria.

As for the mass density: 4.85 g/cm³. For the uncorrected formation energy, the calculation gives -0.01 eV per atom.

Structure (POSCAR):
```
KNiTe
1.0
4.779 0.000 0.000
2.390 4.139 0.000
2.390 1.380 3.902
K Ni Te
1 1 1
Cartesian
4.779 2.759 1.951
7.169 4.139 2.927
0.000 0.000 0.000
```

***

[23]
First-principles (PBE) data for a geometry-optimized LiTaCu2 structure, as listed in Alexandria.

As for the mass density: 9.24 g/cm³. The uncorrected energy comes out at -5.2609 eV per atom.

Structure (POSCAR):
```
LiTaCu2
1.0
2.602 0.000 0.000
0.000 3.939 0.000
0.000 0.000 5.520
Cu Li Ta
2 1 1
Cartesian
0.000 0.000 0.032
1.301 1.970 1.457
0.000 0.000 2.516
1.301 1.970 4.275
```